Record 1
# BaSr2Co | Alexandria | PBE | optimized geometry
# Offset from the most stable computed form (meV/atom): 278.7
# Total energy (eV/atom): -2.511
# Spin magnetization (μB per cell): 1.12
# DOS(E_F) (states/eV per atom): 1.4273
# Calculated formation energy (eV per atom): 0.587
data_BaSr2Co
_cell_length_a 5.359
_cell_length_b 5.359
_cell_length_c 5.494
_cell_angle_alpha 90.00
_cell_angle_beta 90.00
_cell_angle_gamma 90.00
_symmetry_space_group_name_H-M 'P 4/m m m'
_symmetry_Int_Tables_number 123
_symmetry_space_group_name_Hall '-P 4 2'
loop_
_atom_site_label
_atom_site_type_symbol
_atom_site_fract_x
_atom_site_fract_y
_atom_site_fract_z
Ba1 Ba 0.000 0.000 0.000
Sr1 Sr 0.000 0.500 0.500
Co1 Co 0.500 0.500 0.000

---

Record 2
# BaSr2Co | Alexandria | PBE | optimized geometry
# Offset from the most stable computed form (meV/atom): 296.4
# Total energy (eV/atom): -2.493
# Spin magnetization (μB per cell): 2.19
# DOS(E_F) (states/eV per atom): 1.2722
# Calculated formation energy (eV per atom): 0.605
data_BaSr2Co
_cell_length_a 5.325
_cell_length_b 5.325
_cell_length_c 11.115
_cell_angle_alpha 90.00
_cell_angle_beta 90.00
_cell_angle_gamma 90.00
_symmetry_space_group_name_H-M 'I -4 m 2'
_symmetry_Int_Tables_number 119
_symmetry_space_group_name_Hall 'I -4 -2'
loop_
_atom_site_label
_atom_site_type_symbol
_atom_site_fract_x
_atom_site_fract_y
_atom_site_fract_z
Ba1 Ba 0.000 0.000 0.000
Sr1 Sr 0.000 0.000 0.500
Sr2 Sr 0.000 0.500 0.250
Co1 Co 0.000 0.500 0.750

---

Record 3
# Ba2SrCo | Alexandria | PBE | optimized geometry
# Offset from the most stable computed form (meV/atom): 50.7
# Total energy (eV/atom): -2.814
# Spin magnetization (μB per cell): 1.68
# DOS(E_F) (states/eV per atom): 1.6587
# Calculated formation energy (eV per atom): 0.345
data_Ba2SrCo
_cell_length_a 4.3751
_cell_length_b 4.3751
_cell_length_c 33.3433
_cell_angle_alpha 90.00
_cell_angle_beta 90.00
_cell_angle_gamma 120.00
_symmetry_space_group_name_H-M 'R -3 m'
_symmetry_Int_Tables_number 166
_symmetry_space_group_name_Hall '-R 3 2"'
loop_
_atom_site_label
_atom_site_type_symbol
_atom_site_fract_x
_atom_site_fract_y
_atom_site_fract_z
Ba1 Ba 0.0000 0.0000 0.2200
Sr1 Sr 0.0000 0.0000 0.0000
Co1 Co 0.0000 0.0000 0.5000

---

Record 4
# Ba2SrCoTe | Alexandria | PBE | optimized geometry
# Formation energy (no corrections) (eV/f.u.): -1.575
# Total energy (eV/atom): -3.470
# Spin magnetization (μB per cell): 0.00
# DOS(E_F) (states/eV per atom): 0.7694
data_Ba2SrCoTe
_cell_length_a 5.693
_cell_length_b 5.693
_cell_length_c 5.695
_cell_angle_alpha 90.00
_cell_angle_beta 90.00
_cell_angle_gamma 90.00
_symmetry_space_group_name_H-M 'P 4/m m m'
_symmetry_Int_Tables_number 123
_symmetry_space_group_name_Hall '-P 4 2'
loop_
_atom_site_label
_atom_site_type_symbol
_atom_site_fract_x
_atom_site_fract_y
_atom_site_fract_z
Ba1 Ba 0.000 0.500 0.000
Sr1 Sr 0.000 0.000 0.500
Co1 Co 0.000 0.000 0.000
Te1 Te 0.500 0.500 0.500

---

Record 5
# BaSr2ZnCo | Alexandria | PBE | optimized geometry
# Total energy (eV/atom): -2.494
# Spin magnetization (μB per cell): 0.00
# DOS(E_F) (states/eV per atom): 1.0030
# Calculated formation energy (eV per atom): 0.240
data_BaSr2ZnCo
_cell_length_a 5.740
_cell_length_b 5.740
_cell_length_c 5.042
_cell_angle_alpha 90.00
_cell_angle_beta 90.00
_cell_angle_gamma 90.00
_symmetry_space_group_name_H-M 'P 4/m m m'
_symmetry_Int_Tables_number 123
_symmetry_space_group_name_Hall '-P 4 2'
loop_
_atom_site_label
_atom_site_type_symbol
_atom_site_fract_x
_atom_site_fract_y
_atom_site_fract_z
Ba1 Ba 0.000 0.000 0.000
Sr1 Sr 0.000 0.500 0.500
Zn1 Zn 0.500 0.500 0.000
Co1 Co 0.500 0.500 0.500

---

Record 6
# Ba2TaCo | Alexandria | PBE | optimized geometry
# Offset from the most stable computed form (meV/atom): 994.0
# Total energy (eV/atom): -4.326
# Spin magnetization (μB per cell): 17.15
# DOS(E_F) (states/eV per atom): 1.7730
# Calculated formation energy (eV per atom): 1.375
data_Ba2TaCo
_cell_length_a 7.858
_cell_length_b 7.858
_cell_length_c 7.858
_cell_angle_alpha 90.00
_cell_angle_beta 90.00
_cell_angle_gamma 90.00
_symmetry_space_group_name_H-M 'F m -3 m'
_symmetry_Int_Tables_number 225
_symmetry_space_group_name_Hall '-F 4 2 3'
loop_
_atom_site_label
_atom_site_type_symbol
_atom_site_fract_x
_atom_site_fract_y
_atom_site_fract_z
Ba1 Ba 0.250 0.250 0.250
Ta1 Ta 0.000 0.000 0.000
Co1 Co 0.000 0.000 0.500

---

Record 7
# BaTa2Co | Alexandria | PBE | optimized geometry
# Offset from the most stable computed form (meV/atom): 113.9
# Total energy (eV/atom): -7.628
# Spin magnetization (μB per cell): 0.01
# DOS(E_F) (states/eV per atom): 1.2000
# Calculated formation energy (eV per atom): 0.555
data_BaTa2Co
_cell_length_a 4.0433
_cell_length_b 4.0433
_cell_length_c 21.3942
_cell_angle_alpha 90.00
_cell_angle_beta 90.00
_cell_angle_gamma 120.00
_symmetry_space_group_name_H-M 'R -3 m'
_symmetry_Int_Tables_number 166
_symmetry_space_group_name_Hall '-R 3 2"'
loop_
_atom_site_label
_atom_site_type_symbol
_atom_site_fract_x
_atom_site_fract_y
_atom_site_fract_z
Ba1 Ba 0.0000 0.0000 0.0000
Ta1 Ta 0.0000 0.0000 0.2061
Co1 Co 0.0000 0.0000 0.5000

---

Record 8
# BaTa2Co2 | Alexandria | PBE | optimized geometry
# Total energy (eV/atom): -7.776
# Spin magnetization (μB per cell): 0.00
# DOS(E_F) (states/eV per atom): 1.0882
# Calculated formation energy (eV per atom): 0.192
data_BaTa2Co2
_cell_length_a 4.297
_cell_length_b 4.297
_cell_length_c 11.884
_cell_angle_alpha 90.00
_cell_angle_beta 90.00
_cell_angle_gamma 90.00
_symmetry_space_group_name_H-M 'I 4/m m m'
_symmetry_Int_Tables_number 139
_symmetry_space_group_name_Hall '-I 4 2'
loop_
_atom_site_label
_atom_site_type_symbol
_atom_site_fract_x
_atom_site_fract_y
_atom_site_fract_z
Ba1 Ba 0.000 0.000 0.000
Ta1 Ta 0.000 0.500 0.250
Co1 Co 0.000 0.000 0.352